[1]
## InSiTc (PBE-GGA)

Data for an optimized crystal structure of InSiTc.

Properties
Uncorrected formation energy in eV/atom: -0.1631
Total magnetic moment in μB/atom: 0.000
Energy relative to the lowest polymorph listed for this composition in meV/atom: 154.1
VASP energy in eV per formula unit: -19.02

Unit cell a=3.9517 b=2.9757 c=19.3019 alpha=90.00 beta=96.86 gamma=90.00
Element x y z (fractional)
Tc  0.3616  0.0000  0.6865
In  0.2846  0.0000  0.0599
Si  0.8709  0.0000  0.1990
Si  0.8709  0.5000  0.6990
In  0.2846  0.5000  0.5599
Tc  0.6384  0.0000  0.3135
In  0.7154  0.5000  0.4401
In  0.7154  0.0000  0.9401
Tc  0.6384  0.5000  0.8135
Si  0.1291  0.5000  0.3010
Tc  0.3616  0.5000  0.1865
Si  0.1291  0.0000  0.8010



[2]
## InSiTc (PBE-GGA)

Data for an optimized crystal structure of InSiTc.

Properties
Uncorrected formation energy in eV/atom: -0.1716
Total magnetic moment in μB/atom: 0.000
Energy relative to the lowest polymorph listed for this composition in meV/atom: 145.6
VASP energy in eV per formula unit: -19.04

Unit cell a=3.8970 b=3.0512 c=9.3989 alpha=90.00 beta=90.00 gamma=90.00
Element x y z (fractional)
In  0.7500  0.5000  0.3784
Tc  0.2500  0.0000  0.8781
In  0.2500  0.5000  0.6216
Tc  0.7500  0.0000  0.1219
Si  0.2500  0.5000  0.0970
Si  0.7500  0.5000  0.9030